[1]
Below is Th3Al3Zn2 after structural relaxation, with properties calculated at the PBE level.

SG = No. 63
ΔE_f = -353 meV per atom

POSCAR file:
```
Th3Al3Zn2
1.0
-3.4587 2.7196 -0.9458
-0.7179 -2.8634 5.0986
6.8775 11.2876 7.3076
Th Al Zn
6 6 4
Cartesian
-1.0887 4.4922 6.1918 Th
3.3649 7.3640 8.8702 Th
5.6854 9.7630 7.2828 Th
3.7897 6.6517 5.2685 Th
-0.6640 3.7799 2.5902 Th
-2.9844 1.3809 4.1776 Th
4.7282 9.6936 10.5835 Al
2.6568 9.3512 6.4670 Al
0.0442 1.7926 4.9934 Al
0.8787 6.2197 3.9645 Al
-2.0273 1.4503 0.8769 Al
1.8223 4.9242 7.4958 Al
-0.3422 0.4865 2.6504 Zn
0.9615 7.2408 6.5982 Zn
3.0431 10.6573 8.8100 Zn
1.7394 3.9030 4.8622 Zn
```

=====

[2]
Below is Th2AlZn16 after structural relaxation, with properties calculated at the PBE level.

SG = No. 160
ΔE_f = -212 meV per atom

POSCAR file:
```
Th2AlZn16
1.0
5.1280 -4.5496 0.0221
5.1280 4.5496 0.0221
1.0626 0.0000 6.7725
Zn Al Th
16 1 2
Cartesian
10.1872 0.0000 6.1353 Zn
6.1911 -1.8737 6.7943 Zn
9.0606 -1.3375 2.0298 Zn
9.0606 1.3375 2.0298 Zn
10.7743 0.0000 3.4507 Zn
7.3863 3.2112 4.8098 Zn
6.8168 0.0000 1.1246 Zn
8.7601 2.2540 6.7950 Zn
8.7601 -2.2540 6.7950 Zn
6.4881 -2.2195 2.4116 Zn
4.8407 2.2114 4.4058 Zn
4.8407 -2.2114 4.4058 Zn
6.4881 2.2195 2.4116 Zn
6.1911 1.8737 6.7943 Zn
4.5048 0.0000 5.7048 Zn
7.3863 -3.2112 4.8098 Zn
1.1109 0.0000 0.6690 Al
3.8206 0.0000 2.3010 Th
7.4952 0.0000 4.5141 Th
```

=====

[3]
Below is ThAl2Zn10 after structural relaxation, with properties calculated at the PBE level.

energy above the lowest structure with this stoichiometry = 0.0 meV/atom
SG = No. 69
ΔE_f = -141 meV per atom

POSCAR file:
```
ThAl2Zn10
1.0
-1.2446 3.8048 3.7219
-6.0664 2.9438 -1.0241
-3.3653 -2.5028 5.4471
Zn Al Th
10 2 1
Cartesian
-6.1211 3.6550 2.2443 Zn
-4.1588 2.6047 3.9743 Zn
-4.3237 -0.5620 3.1425 Zn
-6.3526 4.8077 5.0024 Zn
-6.5176 1.6411 4.1706 Zn
-2.3946 1.1588 2.0285 Zn
-8.2818 3.0869 6.1164 Zn
-2.3049 0.6510 4.5845 Zn
-4.5552 0.5907 5.9005 Zn
-1.6827 -1.2514 2.7235 Zn
-3.6555 3.3743 1.3489 Al
-3.0332 1.4719 -0.5120 Al
0.0000 0.0000 0.0000 Th
```

=====

[4]
Below is ThAl2Zn3 after structural relaxation, with properties calculated at the PBE level.

SG = No. 12
ΔE_f = -243 meV per atom

POSCAR file:
```
ThAl2Zn3
1.0
4.1889 0.0000 1.1532
1.0527 7.2874 4.3608
0.0627 0.6003 7.9567
Al Th Zn
4 2 6
Cartesian
1.1192 2.6070 4.1192 Al
2.2508 1.8035 8.1931 Al
4.1851 5.2807 9.3515 Al
3.0534 6.0842 5.2776 Al
3.6693 0.7855 3.0405 Th
1.6349 7.1022 10.4302 Th
2.3902 5.9229 7.6867 Zn
3.4507 4.0048 3.8344 Zn
4.5492 2.9299 8.0287 Zn
1.8535 3.8829 9.6362 Zn
0.7550 4.9578 5.4420 Zn
2.9140 1.9647 5.7839 Zn
```

=====

[5]
Below is ThAl3Zn2 after structural relaxation, with properties calculated at the PBE level.

SG = No. 12
ΔE_f = -226 meV per atom

POSCAR file:
```
ThAl3Zn2
1.0
4.2784 0.0000 -1.1640
-0.5326 6.4625 -1.9577
-0.0535 0.4015 8.2484
Al Zn Th
6 4 2
Cartesian
1.2929 3.4192 4.7524 Al
2.3994 3.4448 0.3743 Al
2.4775 6.1871 0.6614 Al
1.2148 0.6769 4.4653 Al
3.7749 2.4641 5.4304 Al
-0.0826 4.3999 -0.3036 Al
0.6269 4.4655 2.3043 Zn
1.8774 1.4188 6.9009 Zn
1.8149 5.4452 -1.7742 Zn
3.0654 2.3985 2.8224 Zn
0.3800 1.3052 1.3968 Th
3.3123 5.5588 3.7299 Th
```

=====

[6]
Below is Th3Al2Zn9 after structural relaxation, with properties calculated at the PBE level.

SG = No. 71
ΔE_f = -287 meV per atom

POSCAR file:
```
Th3Al2Zn9
1.0
-2.1925 4.7403 6.5136
2.1925 -4.7403 6.5136
2.1925 4.7403 -6.5136
Zn Th Al
9 3 2
Cartesian
0.0000 2.6191 1.8481 Zn
2.1925 2.1213 4.6655 Zn
0.0000 6.0071 4.4386 Zn
2.1925 -2.1213 4.6655 Zn
0.0000 4.7403 0.0000 Zn
2.1925 -1.2668 2.0750 Zn
0.0000 3.4736 4.4386 Zn
2.1925 1.2668 2.0750 Zn
0.0000 6.8616 1.8481 Zn
0.0000 0.0000 3.9414 Th
0.0000 0.0000 0.0000 Th
0.0000 0.0000 9.0858 Th
2.1925 2.7663 0.0000 Al
0.0000 1.9741 6.5136 Al
```

=====

[7]
Below is ThAlZn after structural relaxation, with properties calculated at the PBE level.

SG = No. 187
ΔE_f = -367 meV per atom

POSCAR file:
```
ThAlZn
1.0
3.8051 0.0000 0.0000
0.0000 4.5246 0.0000
0.0000 -2.2623 3.9184
Zn Al Th
1 1 1
Cartesian
0.6352 0.0000 0.0000 Zn
0.6334 0.0000 2.6123 Al
2.5365 2.2623 1.3061 Th
```

=====

[8]
Below is Th2Al2Zn15 after structural relaxation, with properties calculated at the PBE level.

SG = No. 166
ΔE_f = -206 meV per atom

POSCAR file:
```
Th2Al2Zn15
1.0
-5.6666 2.8076 -2.6906
-1.4935 -5.1129 -4.3427
-4.5354 -3.2299 4.0287
Zn Th Al
15 2 2
Cartesian
-4.8704 -1.4418 2.0386 Zn
-4.8177 -4.9491 -0.6373 Zn
-2.7295 -2.7671 -3.8534 Zn
-5.3677 -2.0137 -3.9042 Zn
-4.8489 -4.4371 -3.1706 Zn
-3.6345 -3.7876 1.5493 Zn
-0.7468 -2.5565 -2.1714 Zn
-6.8467 -1.0981 0.1660 Zn
-5.3316 1.0195 -0.7005 Zn
-2.2677 -1.6149 2.0143 Zn
-4.4307 0.4618 -3.1799 Zn
-6.3278 -3.5216 0.8996 Zn
-6.8778 -0.5861 -2.3673 Zn
-2.8333 1.4038 -1.3453 Zn
-2.3944 -4.5552 -1.8634 Zn
-7.7511 -3.6684 -1.9913 Th
-3.9445 -1.8668 -1.0133 Th
-10.5267 -4.9820 -2.7043 Al
-1.1689 -0.5532 -0.3003 Al
```